# Na2ErNpO6 | the Alexandria database | PBE | optimized geometry
data_Na2ErNpO6
_symmetry_space_group_name_H-M 'P 4 m m'
_symmetry_Int_Tables_number 99
_cell_length_a 5.9673
_cell_length_b 5.9673
_cell_length_c 4.2956
_cell_angle_alpha 90.00
_cell_angle_beta 90.00
_cell_angle_gamma 90.00
loop_
_symmetry_equiv_pos_as_xyz
'x,y,z'
'-y,x,z'
'-x,-y,z'
'y,-x,z'
'-x,y,z'
'y,x,z'
'x,-y,z'
'-y,-x,z'
loop_
_atom_site_label
_atom_site_type_symbol
_atom_site_fract_x
_atom_site_fract_y
_atom_site_fract_z
Na1 Na 0.0000 0.5000 0.0000
Er1 Er 0.0000 0.0000 0.5417
Np1 Np 0.5000 0.5000 0.5554
O1 O 0.0000 0.0000 0.0452
O2 O 0.2668 0.2668 0.5640
O3 O 0.5000 0.5000 0.0563
# calculated volume = 15.30 A^3/atom


# NaErNpO6 | the Alexandria database | PBE | optimized geometry
data_NaErNpO6
_symmetry_space_group_name_H-M 'P 42 n m'
_symmetry_Int_Tables_number 102
_cell_length_a 5.1418
_cell_length_b 5.1418
_cell_length_c 10.1753
_cell_angle_alpha 90.00
_cell_angle_beta 90.00
_cell_angle_gamma 90.00
loop_
_symmetry_equiv_pos_as_xyz
'x,y,z'
'-y+1/2,x+1/2,z+1/2'
'-x,-y,z'
'y+1/2,-x+1/2,z+1/2'
'-x+1/2,y+1/2,z+1/2'
'y,x,z'
'x+1/2,-y+1/2,z+1/2'
'-y,-x,z'
loop_
_atom_site_label
_atom_site_type_symbol
_atom_site_fract_x
_atom_site_fract_y
_atom_site_fract_z
Na1 Na 0.0000 0.0000 0.0000
Er1 Er 0.0000 0.0000 0.6696
Np1 Np 0.0000 0.0000 0.3344
O1 O 0.1759 0.1759 0.4849
O2 O 0.1942 0.1942 0.1945
O3 O 0.2215 0.2215 0.8229
# calculated volume = 14.95 A^3/atom


# Na3Er2NpO6 | the Alexandria database | PBE | optimized geometry
data_Na3Er2NpO6
_symmetry_space_group_name_H-M 'C 1 2/m 1'
_symmetry_Int_Tables_number 12
_cell_length_a 5.9392
_cell_length_b 10.2904
_cell_length_c 5.9593
_cell_angle_alpha 90.00
_cell_angle_beta 109.37
_cell_angle_gamma 90.00
loop_
_symmetry_equiv_pos_as_xyz
'x,y,z'
'-x,-y,-z'
'-x,y,-z'
'x,-y,z'
'x+1/2,y+1/2,z'
'-x+1/2,-y+1/2,-z'
'-x+1/2,y+1/2,-z'
'x+1/2,-y+1/2,z'
loop_
_atom_site_label
_atom_site_type_symbol
_atom_site_fract_x
_atom_site_fract_y
_atom_site_fract_z
Na1 Na 0.0000 0.0000 0.0000
Na2 Na 0.0000 0.3302 0.0000
Er1 Er 0.0000 0.1665 0.5000
Np1 Np 0.0000 0.5000 0.5000
O1 O 0.2300 0.0000 0.7129
O2 O 0.2410 0.3296 0.7123
# calculated volume = 14.32 A^3/atom


# NaErNp2O8 | the Alexandria database | PBE | optimized geometry
data_NaErNp2O8
_symmetry_space_group_name_H-M 'I -4 m 2'
_symmetry_Int_Tables_number 119
_symmetry_space_group_name_Hall 'I -4 -2'
_cell_length_a 5.3018
_cell_length_b 5.3018
_cell_length_c 10.3692
_cell_angle_alpha 90.00
_cell_angle_beta 90.00
_cell_angle_gamma 90.00
loop_
_atom_site_label
_atom_site_type_symbol
_atom_site_fract_x
_atom_site_fract_y
_atom_site_fract_z
Na1 Na 0.0000 0.0000 0.0000
Er1 Er 0.0000 0.5000 0.7500
Np1 Np 0.0000 0.0000 0.5000
Np2 Np 0.0000 0.5000 0.2500
O1 O 0.2271 0.2443 0.3730
# calculated volume = 12.14 A^3/atom


# NaEr2NpS4 | the Alexandria database | PBE | optimized geometry
data_NaEr2NpS4
_symmetry_space_group_name_H-M 'P 1 2/m 1'
_symmetry_Int_Tables_number 10
_cell_length_a 6.8012
_cell_length_b 3.8944
_cell_length_c 6.8172
_cell_angle_alpha 90.00
_cell_angle_beta 109.32
_cell_angle_gamma 90.00
loop_
_symmetry_equiv_pos_as_xyz
'x,y,z'
'-x,-y,-z'
'-x,y,-z'
'x,-y,z'
loop_
_atom_site_label
_atom_site_type_symbol
_atom_site_fract_x
_atom_site_fract_y
_atom_site_fract_z
Na1 Na 0.0000 0.0000 0.0000
Er1 Er 0.0000 0.5000 0.5000
Er2 Er 0.5000 0.0000 0.5000
Np1 Np 0.5000 0.5000 0.0000
S1 S 0.2489 0.0000 0.7438
S2 S 0.2546 0.5000 0.2610
# calculated volume = 21.30 A^3/atom


# NaEr4NpS8 | the Alexandria database | PBE | optimized geometry
data_NaEr4NpS8
_symmetry_space_group_name_H-M 'R 3 m'
_symmetry_Int_Tables_number 160
_symmetry_space_group_name_Hall 'R 3 -2"'
_cell_length_a 8.0308
_cell_length_b 8.0308
_cell_length_c 19.9466
_cell_angle_alpha 90.00
_cell_angle_beta 90.00
_cell_angle_gamma 120.00
loop_
_atom_site_label
_atom_site_type_symbol
_atom_site_fract_x
_atom_site_fract_y
_atom_site_fract_z
Na1 Na 0.0000 0.0000 0.0000
Er1 Er 0.0000 0.0000 0.2516
Er2 Er 0.1725 0.3449 0.4582
Np1 Np 0.0000 0.0000 0.6288
S1 S 0.0000 0.0000 0.3839
S2 S 0.0000 0.0000 0.8646
S3 S 0.0288 0.5144 0.3813
S4 S 0.1750 0.3501 0.2043
# calculated volume = 26.53 A^3/atom


# Na3Er2NpS6 | the Alexandria database | PBE | optimized geometry
data_Na3Er2NpS6
_symmetry_space_group_name_H-M 'C 1 2/m 1'
_symmetry_Int_Tables_number 12
_cell_length_a 6.9055
_cell_length_b 11.9475
_cell_length_c 7.0617
_cell_angle_alpha 90.00
_cell_angle_beta 108.98
_cell_angle_gamma 90.00
loop_
_symmetry_equiv_pos_as_xyz
'x,y,z'
'-x,-y,-z'
'-x,y,-z'
'x,-y,z'
'x+1/2,y+1/2,z'
'-x+1/2,-y+1/2,-z'
'-x+1/2,y+1/2,-z'
'x+1/2,-y+1/2,z'
loop_
_atom_site_label
_atom_site_type_symbol
_atom_site_fract_x
_atom_site_fract_y
_atom_site_fract_z
Na1 Na 0.0000 0.0000 0.0000
Na2 Na 0.0000 0.3327 0.0000
Er1 Er 0.0000 0.1660 0.5000
Np1 Np 0.0000 0.5000 0.5000
S1 S 0.2371 0.0000 0.7271
S2 S 0.2447 0.3307 0.7260
# calculated volume = 22.96 A^3/atom


# Na4ErNp3S8 | the Alexandria database | PBE | optimized geometry
data_Na4ErNp3S8
_symmetry_space_group_name_H-M 'R -3 m'
_symmetry_Int_Tables_number 166
_symmetry_space_group_name_Hall '-R 3 2"'
_cell_length_a 8.0094
_cell_length_b 8.0094
_cell_length_c 19.9682
_cell_angle_alpha 90.00
_cell_angle_beta 90.00
_cell_angle_gamma 120.00
loop_
_atom_site_label
_atom_site_type_symbol
_atom_site_fract_x
_atom_site_fract_y
_atom_site_fract_z
Na1 Na 0.0000 0.0000 0.0000
Na2 Na 0.0000 0.5000 0.0000
Er1 Er 0.0000 0.0000 0.5000
Np1 Np 0.0000 0.5000 0.5000
S1 S 0.0000 0.0000 0.2415
S2 S 0.0037 0.5019 0.2424
# calculated volume = 23.11 A^3/atom


# Na4Er3NpS8 | the Alexandria database | PBE | optimized geometry
data_Na4Er3NpS8
_symmetry_space_group_name_H-M 'R -3 m'
_symmetry_Int_Tables_number 166
_symmetry_space_group_name_Hall '-R 3 2"'
_cell_length_a 7.9499
_cell_length_b 7.9499
_cell_length_c 20.0200
_cell_angle_alpha 90.00
_cell_angle_beta 90.00
_cell_angle_gamma 120.00
loop_
_atom_site_label
_atom_site_type_symbol
_atom_site_fract_x
_atom_site_fract_y
_atom_site_fract_z
Na1 Na 0.0000 0.0000 0.0000
Na2 Na 0.0000 0.5000 0.0000
Er1 Er 0.0000 0.5000 0.5000
Np1 Np 0.0000 0.0000 0.5000
S1 S 0.0000 0.0000 0.2417
S2 S 0.0048 0.5024 0.7580
# calculated volume = 22.83 A^3/atom


# Na2Er2NpS6 | the Alexandria database | PBE | optimized geometry
data_Na2Er2NpS6
_symmetry_space_group_name_H-M 'C 1 2/m 1'
_symmetry_Int_Tables_number 12
_cell_length_a 6.8677
_cell_length_b 11.8704
_cell_length_c 7.1102
_cell_angle_alpha 90.00
_cell_angle_beta 108.72
_cell_angle_gamma 90.00
loop_
_symmetry_equiv_pos_as_xyz
'x,y,z'
'-x,-y,-z'
'-x,y,-z'
'x,-y,z'
'x+1/2,y+1/2,z'
'-x+1/2,-y+1/2,-z'
'-x+1/2,y+1/2,-z'
'x+1/2,-y+1/2,z'
loop_
_atom_site_label
_atom_site_type_symbol
_atom_site_fract_x
_atom_site_fract_y
_atom_site_fract_z
Na1 Na 0.0000 0.1685 0.0000
Er1 Er 0.0000 0.3341 0.5000
Np1 Np 0.0000 0.0000 0.5000
S1 S 0.2361 0.1670 0.7188
S2 S 0.2459 0.5000 0.7187
# calculated volume = 24.95 A^3/atom


# Na2ErNp3Se6 | the Alexandria database | PBE | optimized geometry
data_Na2ErNp3Se6
_symmetry_space_group_name_H-M 'C 1 2/m 1'
_symmetry_Int_Tables_number 12
_cell_length_a 7.1721
_cell_length_b 12.4048
_cell_length_c 7.1928
_cell_angle_alpha 90.00
_cell_angle_beta 109.27
_cell_angle_gamma 90.00
loop_
_symmetry_equiv_pos_as_xyz
'x,y,z'
'-x,-y,-z'
'-x,y,-z'
'x,-y,z'
'x+1/2,y+1/2,z'
'-x+1/2,-y+1/2,-z'
'-x+1/2,y+1/2,-z'
'x+1/2,-y+1/2,z'
loop_
_atom_site_label
_atom_site_type_symbol
_atom_site_fract_x
_atom_site_fract_y
_atom_site_fract_z
Na1 Na 0.0000 0.1654 0.0000
Er1 Er 0.0000 0.5000 0.0000
Np1 Np 0.0000 0.0000 0.5000
Np2 Np 0.0000 0.3293 0.5000
Se1 Se 0.2390 0.5000 0.7458
Se2 Se 0.2455 0.3377 0.2493
# calculated volume = 25.17 A^3/atom


# Na4ErNp3Se8 | the Alexandria database | PBE | optimized geometry
data_Na4ErNp3Se8
_symmetry_space_group_name_H-M 'R -3 m'
_symmetry_Int_Tables_number 166
_symmetry_space_group_name_Hall '-R 3 2"'
_cell_length_a 8.3595
_cell_length_b 8.3595
_cell_length_c 20.9153
_cell_angle_alpha 90.00
_cell_angle_beta 90.00
_cell_angle_gamma 120.00
loop_
_atom_site_label
_atom_site_type_symbol
_atom_site_fract_x
_atom_site_fract_y
_atom_site_fract_z
Na1 Na 0.0000 0.0000 0.0000
Na2 Na 0.0000 0.5000 0.0000
Er1 Er 0.0000 0.0000 0.5000
Np1 Np 0.0000 0.5000 0.5000
Se1 Se 0.0000 0.0000 0.2432
Se2 Se 0.0048 0.5024 0.2435
# calculated volume = 26.37 A^3/atom


Taking the records one at a time from the top gives D(E_F) values of 0.198 1.000 0.522 0.873 1.540 0.372 0.668 1.759 0.431 0.584 2.413 1.686 states/eV/atom.
Taking the records one at a time from the top gives magnetization values of 0.3 1.0 4.0 2.0 4.5 4.0 4.0 12.0 4.0 3.0 13.8 12.0 μB per formula unit.
Taking the records one at a time from the top gives uncorrected energy values of -7.530 -7.882 -7.252 -8.706 -6.701 -6.488 -5.899 -6.576 -5.772 -6.167 -6.854 -6.103 eV per atom.